(1)
The following is a PBE calculation of Pm3Zn2Co7 after structural relaxation, from the Alexandria database.

Cell and atoms, written as CIF:
```
data_Pm3Zn2Co7
_cell_length_a 8.7656
_cell_length_b 8.7656
_cell_length_c 8.7656
_cell_angle_alpha 33.94
_cell_angle_beta 33.94
_cell_angle_gamma 33.94
_symmetry_space_group_name_H-M 'P 1'
_symmetry_Int_Tables_number 1
_symmetry_space_group_name_Hall 'P 1'
loop_
_atom_site_label
_atom_site_type_symbol
_atom_site_fract_x
_atom_site_fract_y
_atom_site_fract_z
_atom_site_occupancy
Pm1 Pm 0.0000 0.0000 0.0000 1
Pm2 Pm 0.1397 0.1397 0.1397 1
Pm3 Pm 0.8603 0.8603 0.8603 1
Zn1 Zn 0.3330 0.3330 0.3330 1
Zn2 Zn 0.6670 0.6670 0.6670 1
Co1 Co 0.0854 0.5816 0.5816 1
Co2 Co 0.4184 0.4184 0.9146 1
Co3 Co 0.4184 0.9146 0.4184 1
Co4 Co 0.5000 0.5000 0.5000 1
Co5 Co 0.5816 0.0854 0.5816 1
Co6 Co 0.5816 0.5816 0.0854 1
Co7 Co 0.9146 0.4184 0.4184 1
```

Results
**Theoretical density**: 8.68 g/cm³
**Space-group type**: R-3m, No. 166
**Volume**: 187.1 Å³ per cell

(2)
The following is a PBE calculation of YPaCuPt after structural relaxation, from the Alexandria database.

Cell and atoms, written as CIF:
```
data_YPaCuPt
_cell_length_a 6.9889
_cell_length_b 6.9889
_cell_length_c 6.9889
_cell_angle_alpha 90.00
_cell_angle_beta 90.00
_cell_angle_gamma 90.00
_symmetry_space_group_name_H-M 'P 1'
_symmetry_Int_Tables_number 1
_symmetry_space_group_name_Hall 'P 1'
loop_
_atom_site_label
_atom_site_type_symbol
_atom_site_fract_x
_atom_site_fract_y
_atom_site_fract_z
_atom_site_occupancy
Y1 Y 0.0000 0.0000 0.0000 1
Y2 Y 0.0000 0.5000 0.5000 1
Y3 Y 0.5000 0.0000 0.5000 1
Y4 Y 0.5000 0.5000 0.0000 1
Pa1 Pa 0.0000 0.0000 0.5000 1
Pa2 Pa 0.0000 0.5000 0.0000 1
Pa3 Pa 0.5000 0.0000 0.0000 1
Pa4 Pa 0.5000 0.5000 0.5000 1
Cu1 Cu 0.2500 0.2500 0.2500 1
Cu2 Cu 0.2500 0.7500 0.7500 1
Cu3 Cu 0.7500 0.2500 0.7500 1
Cu4 Cu 0.7500 0.7500 0.2500 1
Pt1 Pt 0.2500 0.2500 0.7500 1
Pt2 Pt 0.2500 0.7500 0.2500 1
Pt3 Pt 0.7500 0.2500 0.2500 1
Pt4 Pt 0.7500 0.7500 0.7500 1
```

Results
**Theoretical density**: 11.26 g/cm³
**Space-group type**: F-43m, No. 216
**Volume**: 341.4 Å³ per cell

| no. | DOS(E_F) (states/eV/f.u.) | DFT formation energy (meV/atom) | size of the total moment (μB per formula unit) |
| --- | --- | --- | --- |
| 1 | 15.69 | -124 | 6.32 |
| 2 | 6.90 | -448 | 0.00 |